# CsK2SmBr6 | Alexandria via LeMat-Bulk | PBE | optimized geometry
data_CsK2SmBr6
_chemical_formula_sum 'Cs3 K6 Sm3 Br18'
_space_group_name_H-M_alt 'R 3'
_space_group_IT_number 146
_space_group_name_Hall 'R 3'
_cell_length_a 8.3010
_cell_length_b 8.3010
_cell_length_c 22.0193
_cell_angle_alpha 90.00
_cell_angle_beta 90.00
_cell_angle_gamma 120.00
loop_
_atom_site_label
_atom_site_type_symbol
_atom_site_fract_x
_atom_site_fract_y
_atom_site_fract_z
Cs1 Cs 0.0000 0.0000 0.0000
K1 K 0.0000 0.0000 0.2826
K2 K 0.0000 0.0000 0.7978
Sm1 Sm 0.0000 0.0000 0.4838
Br1 Br 0.0210 0.3052 0.5527
Br2 Br 0.0248 0.7442 0.4003
# Calculated volume: 438 Å³/f.u.
# Total energy: -3.610 eV/atom